First-principles (PBEsol) data for crystalline YCd2Si at its relaxed geometry, as listed in Alexandria.

Calculated values
M_tot (μB/f.u.): 0.0
Fermi-level density of states (states/eV/cell): 2.819
Energy relative to the elements, uncorrected (eV/atom): -0.260
Space group: No. 38

a b c (Å): 4.223 3.364 11.973
angles (deg): 90.00 90.00 90.00
Element x y z (fractional)
Y1 0.000 0.000 0.000
Y2 0.000 0.500 0.500
Cd1 0.000 0.000 0.732
Cd2 0.000 0.500 0.232
Cd3 0.500 0.000 0.338
Cd4 0.500 0.500 0.838
Si1 0.500 0.000 0.581
Si2 0.500 0.500 0.081

First-principles (PBEsol) data for crystalline Y2ZrAg at its relaxed geometry, as listed in Alexandria.

Calculated values
M_tot (μB/f.u.): 0.0
Fermi-level density of states (states/eV/cell): 8.511
E above lowest polymorph (meV/atom): 165
Formation energy from the elements (eV/atom): 0.05
Space group: No. 71

a b c (Å): 3.617 5.148 10.388
angles (deg): 90.00 90.00 90.00
Element x y z (fractional)
Y1 0.000 0.000 0.225
Y2 0.000 0.000 0.775
Y3 0.500 0.500 0.275
Y4 0.500 0.500 0.725
Zr1 0.000 0.500 0.000
Zr2 0.500 0.000 0.500
Ag1 0.000 0.500 0.500
Ag2 0.500 0.000 0.000